{
  "formula": "NbCu",
  "functional": "PBE",
  "state": "optimized geometry",
  "lattice": [[9.097, 0.000, 0.000], [-4.549, 7.879, 0.000], [0.000, 0.000, 2.754]],
  "species": ["Nb", "Nb", "Nb", "Nb", "Nb", "Nb", "Cu", "Cu", "Cu", "Cu", "Cu", "Cu"],
  "fractional_positions": [[0.858, 0.362, 0.250], [0.496, 0.858, 0.750], [0.638, 0.496, 0.250], [0.142, 0.638, 0.750], [0.504, 0.142, 0.250], [0.362, 0.504, 0.750], [0.790, 0.040, 0.250], [0.750, 0.790, 0.750], [0.960, 0.750, 0.250], [0.210, 0.960, 0.750], [0.250, 0.210, 0.250], [0.040, 0.250, 0.750]],
  "ef_mev_per_atom": 380
}

{
  "formula": "Sm7Ho3Tm2",
  "functional": "PBE",
  "state": "optimized geometry",
  "lattice": [[3.604, 0.000, 0.000], [0.000, 5.743, 0.000], [0.000, -2.871, 18.955]],
  "species": ["Sm", "Sm", "Sm", "Sm", "Sm", "Sm", "Sm", "Ho", "Ho", "Ho", "Tm", "Tm"],
  "fractional_positions": [[0.000, 0.407, 0.814], [0.000, 0.768, 0.536], [0.000, 0.000, 0.000], [0.000, 0.593, 0.186], [0.500, 0.073, 0.145], [0.500, 0.927, 0.855], [0.000, 0.232, 0.464], [0.500, 0.500, 0.000], [0.500, 0.685, 0.369], [0.500, 0.315, 0.631], [0.000, 0.851, 0.703], [0.000, 0.149, 0.297]],
  "e_above_lowest_polymorph_mev_per_atom": 40,
  "ef_mev_per_atom": 115
}

{
  "formula": "ZnTe3P",
  "functional": "PBE",
  "state": "optimized geometry",
  "lattice": [[5.212, 0.000, 0.000], [0.000, 5.212, 0.000], [0.000, 0.000, 5.212]],
  "species": ["P", "Zn", "Te", "Te", "Te"],
  "fractional_positions": [[0.500, 0.500, 0.500], [0.000, 0.000, 0.000], [0.000, 0.500, 0.000], [0.000, 0.000, 0.500], [0.500, 0.000, 0.000]],
  "e_form_raw_kj_per_mol_atoms": 80
}

{
  "formula": "AlSiO",
  "functional": "PBE",
  "state": "optimized geometry",
  "lattice": [[2.706, 0.000, 0.000], [-1.353, 2.343, 0.000], [0.000, 0.000, 13.631]],
  "species": ["Si", "Si", "O", "O", "Al", "Al"],
  "fractional_positions": [[0.000, 0.000, 0.000], [0.333, 0.667, 0.500], [0.000, 0.000, 0.420], [0.000, 0.000, 0.580], [0.333, 0.667, 0.836], [0.333, 0.667, 0.164]],
  "e_form_raw_kj_per_mol_atoms": -65
}

In order of appearance, VASP energy = -13.4 -54.3 -12.0 -16.1 eV per formula unit.